No. 1
DFT (PBE-GGA) results for a relaxed structure of YLuMo4.

Properties
symmetry: F-43m (216)
total moment: 0.00 μB/atom
energy relative to the elements: 0.06 eV/atom

Lattice parameters (Å, degrees): 5.5002 5.5002 5.5002 60.00 60.00 60.00
Closest atoms and distances in Å follow each position.
Fractional coordinates of all 6 atoms:
Y1 0.0000 0.0000 0.0000  12 Mo 3.22, 4 Lu 3.37
Lu1 0.2500 0.2500 0.2500  12 Mo 3.22, 4 Y 3.37
Mo1 0.1252 0.6249 0.6249  6 Mo 2.75
Mo2 0.6249 0.1252 0.6249  6 Mo 2.75
Mo3 0.6249 0.6249 0.1252  6 Mo 2.75
Mo4 0.6249 0.6249 0.6249  6 Mo 2.75


No. 2
DFT (PBE-GGA) results for a relaxed structure of LuZn4Mo.

Properties
symmetry: F-43m (216)
total moment: 0.37 μB/atom
energy relative to the elements: -0.09 eV/atom

Lattice parameters (Å, degrees): 5.1604 5.1604 5.1604 60.00 60.00 60.00
Closest atoms and distances in Å follow each position.
Fractional coordinates of all 6 atoms:
Lu1 0.0000 0.0000 0.0000  12 Zn 3.03, 4 Mo 3.16
Zn1 0.3762 0.3762 0.3762  6 Zn 2.56-2.60
Zn2 0.3762 0.3762 0.8715  6 Zn 2.56-2.60
Zn3 0.3762 0.8715 0.3762  6 Zn 2.56-2.60
Zn4 0.8715 0.3762 0.3762  6 Zn 2.56-2.60
Mo1 0.7500 0.7500 0.7500  12 Zn 3.02, 4 Lu 3.16


No. 3
DFT (PBE-GGA) results for a relaxed structure of Lu2ZnMo.

Properties
symmetry: P4/mmm (123)
total moment: 0.00 μB/atom
energy relative to the elements: 0.01 eV/atom

Lattice parameters (Å, degrees): 3.4536 3.4536 7.0548 90.00 90.00 90.00
Closest atoms and distances in Å follow each position.
Fractional coordinates of all 4 atoms:
Lu1 0.0000 0.0000 0.2374  4 Mo 2.96, 4 Zn 3.07
Lu2 0.0000 0.0000 0.7626  4 Mo 2.96, 4 Zn 3.07
Zn1 0.5000 0.5000 0.5000  8 Lu 3.07
Mo1 0.5000 0.5000 0.0000  8 Lu 2.96


No. 4
DFT (PBE-GGA) results for a relaxed structure of LuZr2Mo.

Properties
symmetry: R-3m (166)
energy relative to the lowest polymorph listed for this composition: 134.6 meV/atom
total moment: 0.00 μB/atom
energy relative to the elements: 0.19 eV/atom

Lattice parameters (Å, degrees): 9.7846 9.7846 9.7846 19.46 19.46 19.46
Closest atoms and distances in Å follow each position.
Fractional coordinates of all 4 atoms:
Lu1 0.0000 0.0000 0.0000  6 Lu 3.31, 6 Zr 3.37
Zr1 0.2369 0.2369 0.2369  3 Mo 2.78
Zr2 0.7631 0.7631 0.7631  3 Mo 2.78
Mo1 0.5000 0.5000 0.5000  6 Zr 2.78


Among the records above, which one has the highest energy relative to the elements? LuZr2Mo


Look up the total moment of the third one. 0.00 μB/atom


What is the total moment in the third record? 0.00 μB/atom